[1]
Compound: CaTeRu2I
Source: the Alexandria database
Functional: PBE
Structure: optimized geometry

a b c (Å): 5.1325 5.6349 5.1325
angles (deg): 90.00 90.00 90.00
With the nearest neighbours (Å) after each atom.
Sites, in units of the cell vectors:
1 Ru 0.0000 0.0000 0.5000  2 Ca 2.57
2 Ru 0.5000 0.0000 0.0000  2 Ca 2.57
3 Ca 0.0000 0.0000 0.0000  4 Ru 2.57, 2 Te 2.82
4 Te 0.0000 0.5000 0.0000  2 Ca 2.82
5 I 0.5000 0.5000 0.5000  4 Te 3.63, 8 Ru 3.81

Results
DOS at the Fermi energy = 7.65 states/eV/f.u.
symmetry = P4/mmm, No. 123
uncorrected formation energy = 1.661 eV/atom
total energy = -3.39 eV per atom

---

[2]
Compound: La2NbPb
Source: the Alexandria database
Functional: PBE
Structure: optimized geometry

a b c (Å): 8.6292 8.6292 6.8588
angles (deg): 51.02 51.02 90.00
With the nearest neighbours (Å) after each atom.
Sites, in units of the cell vectors:
1 La 0.3750 0.4193 0.7500  2 Nb 2.90, 2 La 3.22
2 Pb 0.0000 0.0000 0.0000  2 Nb 3.13, 4 La 3.42
3 La 0.8750 0.8307 0.7500  2 Nb 2.90, 2 La 3.22
4 Pb 0.7500 0.2500 0.5000  2 Nb 3.13, 4 La 3.42
5 La 0.1693 0.6250 0.2500  2 Nb 2.90, 2 La 3.22
6 Nb 0.5000 0.5000 0.0000  4 La 2.90, 2 Pb 3.13
7 La 0.5807 0.1250 0.2500  2 Nb 2.90, 2 La 3.22
8 Nb 0.2500 0.7500 0.5000  4 La 2.90, 2 Pb 3.13

Results
DOS at the Fermi energy = 6.02 states/eV/f.u.
symmetry = I-42d, No. 122
total energy = -5.56 eV per atom
calculated formation energy = 349 meV per atom